The following is a DFT calculation (PBE-GGA) of a relaxed CaTb2C crystal.

Unit cell a=9.738 b=9.738 c=9.738 alpha=21.57 beta=21.57 gamma=21.57
Sites, in units of the cell vectors:
Ca (0.000, 0.000, 0.000)
Tb (0.546, 0.546, 0.546)
Tb (0.785, 0.785, 0.785)
C (0.166, 0.166, 0.166)

Calculated values
Calculated formation energy = -162.8 meV/atom
Crystal system = trigonal
Raw total energy = -5.28 eV/atom
Total magnetization = 0.3 μB/f.u.
Symmetry = No. 160